1.
Here is a geometry-optimized MgZrGaPt structure from Alexandria. Energies are from PBE.

a = 6.5961 Å, b = 6.5961 Å, c = 6.5961 Å
α = 90.00°, β = 90.00°, γ = 90.00°
Space group F-43m (No. 216)
Inequivalent atoms, fractional coordinates:
Mg (0.0000, 0.0000, 0.0000)
Zr (0.0000, 0.0000, 0.5000)
Ga (0.2500, 0.2500, 0.7500)
Pt (0.2500, 0.2500, 0.2500)

Computed properties:
Total magnetization: 0.0 Bohr magnetons per cell
Energy relative to the elements: -0.7043 eV/atom

=====

2.
Here is a geometry-optimized SmY3Hg6 structure from Alexandria. Energies are from PBE.

a = 9.2103 Å, b = 5.1842 Å, c = 11.1892 Å
α = 90.00°, β = 106.88°, γ = 90.00°
Space group P2_1/m (No. 11)
Inequivalent atoms, fractional coordinates:
Sm (0.0647, 0.2500, 0.3870)
Y (0.2294, 0.2500, 0.0065)
Y (0.3527, 0.7500, 0.8014)
Y (0.4859, 0.2500, 0.6133)
Hg (0.0636, 0.7500, 0.9027)
Hg (0.1401, 0.7500, 0.2030)
Hg (0.1673, 0.2500, 0.6894)
Hg (0.2484, 0.7500, 0.5153)
Hg (0.3540, 0.2500, 0.2950)
Hg (0.4646, 0.7500, 0.0917)

Computed properties:
Total magnetization: 0.0 Bohr magnetons per cell
Energy relative to the elements: -0.4479 eV/atom

=====

3.
Here is a geometry-optimized YNiP2S structure from Alexandria. Energies are from PBE.

a = 4.3464 Å, b = 4.3464 Å, c = 4.8212 Å
α = 90.00°, β = 90.00°, γ = 90.00°
Space group P4/mmm (No. 123)
Inequivalent atoms, fractional coordinates:
Y (0.0000, 0.0000, 0.0000)
Ni (0.5000, 0.5000, 0.5000)
P (0.0000, 0.5000, 0.5000)
S (0.5000, 0.5000, 0.0000)

Computed properties:
Energy relative to the lowest polymorph listed for this composition: 0.0000 eV/atom
Energy relative to the elements, uncorrected: -0.354 eV/atom
Total magnetization: 0.0 Bohr magnetons per cell

=====

4.
Here is a geometry-optimized LiAlCo2 structure from Alexandria. Energies are from PBE.

a = 2.8910 Å, b = 2.8910 Å, c = 5.7365 Å
α = 90.00°, β = 90.00°, γ = 90.00°
Space group P4mm (No. 99)
Inequivalent atoms, fractional coordinates:
Li (0.0000, 0.0000, 0.0000)
Al (0.5000, 0.5000, 0.2825)
Co (0.0000, 0.0000, 0.5325)
Co (0.5000, 0.5000, 0.7589)

Computed properties:
Total magnetization: 2.7 Bohr magnetons per cell
Energy relative to the elements: -0.0692 eV/atom

=====

5.
Here is a geometry-optimized Cs2NaPb structure from Alexandria. Energies are from PBE.

a = 13.1454 Å, b = 7.2071 Å, c = 10.9923 Å
α = 90.00°, β = 114.04°, γ = 90.00°
Space group P2_1/c (No. 14)
Inequivalent atoms, fractional coordinates:
Cs (0.1667, 0.2498, 0.0879)
Cs (0.2556, 0.7167, 0.3807)
Na (0.4997, 0.0001, 0.2274)
Pb (0.4242, 0.1894, 0.4632)

Computed properties:
Total magnetization: 0.0 Bohr magnetons per cell
Energy relative to the elements: -0.0809 eV/atom

=====

6.
Here is a geometry-optimized Rb6As3I14 structure from Alexandria. Energies are from PBE.

a = 13.5267 Å, b = 13.5267 Å, c = 6.9259 Å
α = 90.00°, β = 90.00°, γ = 120.00°
Space group P3 (No. 143)
Inequivalent atoms, fractional coordinates:
Rb (0.0251, 0.5549, 0.0000)
Rb (0.2969, 0.1117, 0.5002)
As (0.0000, 0.0000, 0.8466)
As (0.3333, 0.6667, 0.4013)
As (0.6667, 0.3333, 0.2601)
I (0.0000, 0.0000, 0.3206)
I (0.0927, 0.8568, 0.8220)
I (0.1938, 0.4398, 0.3050)
I (0.3333, 0.6667, 0.8079)
I (0.4599, 0.2056, 0.0295)
I (0.5390, 0.4139, 0.4894)

Computed properties:
Energy relative to the elements, uncorrected: -0.805 eV/atom
Total magnetization: 0.2 Bohr magnetons per cell

=====

7.
Here is a geometry-optimized Be4Te3 structure from Alexandria. Energies are from PBE.

a = 5.2040 Å, b = 5.2040 Å, c = 5.2040 Å
α = 90.00°, β = 90.00°, γ = 90.00°
Space group Pm-3m (No. 221)
Inequivalent atoms, fractional coordinates:
Be (0.0000, 0.0000, 0.0000)
Be (0.0000, 0.5000, 0.5000)
Te (0.0000, 0.0000, 0.5000)

Computed properties:
Energy relative to the lowest polymorph listed for this composition: 0.2690 eV/atom
Energy relative to the elements, uncorrected: 0.460 eV/atom
Total magnetization: 0.0 Bohr magnetons per cell

=====

8.
Here is a geometry-optimized Er6Pb2N structure from Alexandria. Energies are from PBE.

a = 6.8253 Å, b = 6.8253 Å, c = 9.6843 Å
α = 90.00°, β = 90.00°, γ = 90.00°
Space group I4/mmm (No. 139)
Inequivalent atoms, fractional coordinates:
Er (0.0000, 0.0000, 0.2443)
Er (0.2455, 0.2455, 0.0000)
Pb (0.0000, 0.5000, 0.2500)
N (0.0000, 0.0000, 0.0000)

Computed properties:
Energy relative to the lowest polymorph listed for this composition: 0.0000 eV/atom
Energy relative to the elements, uncorrected: -0.604 eV/atom
Total magnetization: 0.0 Bohr magnetons per cell